[1]
This record from Alexandria describes La11V4O26 after structural relaxation. The functional is PBE with a Hubbard U.

Its space group is No. 2. As for the total energy: -8.2499 eV/atom.

Cell lengths 7.106, 10.266, 10.381 Å; angles 77.37, 71.59, 70.04 degrees
Last column: magnetic moment on the atom in μB.
Fractional coordinates of all 41 atoms:
V 0.279 0.273 0.543  0.00
O 0.767 0.271 0.167  0.00
O 0.863 0.632 0.323  0.00
La 0.500 0.000 0.000  0.00
V 0.721 0.727 0.457  0.00
O 0.464 0.731 0.498  0.00
La 0.123 0.972 0.808  0.00
O 0.324 0.606 0.085  -0.02
O 0.233 0.729 0.833  0.00
V 0.402 0.681 0.193  0.56
La 0.720 0.016 0.595  0.00
O 0.676 0.394 0.915  -0.02
O 0.232 0.846 0.248  -0.02
O 0.604 0.737 0.062  -0.01
O 0.516 0.907 0.801  0.00
O 0.952 0.107 0.384  0.00
La 0.173 0.640 0.662  0.00
V 0.598 0.319 0.807  0.56
O 0.179 0.317 0.399  0.00
O 0.303 0.093 0.593  0.00
O 0.057 0.420 0.132  0.00
La 0.280 0.984 0.405  0.00
La 0.588 0.657 0.843  0.00
O 0.536 0.269 0.502  0.00
O 0.821 0.683 0.601  0.00
O 0.396 0.263 0.938  -0.01
La 0.412 0.343 0.157  0.00
O 0.484 0.093 0.199  0.00
La 0.020 0.331 0.954  0.00
O 0.137 0.081 0.990  0.00
O 0.943 0.580 0.868  0.00
O 0.490 0.533 0.302  -0.03
O 0.768 0.154 0.752  -0.02
O 0.510 0.467 0.698  -0.03
O 0.863 0.919 0.010  0.00
O 0.137 0.368 0.677  0.00
O 0.697 0.907 0.407  0.00
La 0.980 0.669 0.046  0.00
La 0.877 0.028 0.192  0.00
O 0.048 0.893 0.616  0.00
La 0.827 0.360 0.338  0.00


[2]
This record from Alexandria describes Si2MoIF after structural relaxation. The functional is PBE with a Hubbard U.

Its space group is No. 123. As for the total energy: -2.8786 eV/atom.

Cell lengths 5.435, 5.633, 5.435 Å; angles 90.00, 90.00, 90.00 degrees
Last column: magnetic moment on the atom in μB.
Fractional coordinates of all 5 atoms:
Si 0.500 0.000 0.000  -0.22
Mo 0.000 0.500 0.000  4.02
I 0.000 0.000 0.000  -0.04
F 0.500 0.500 0.500  -0.06
Si 0.000 0.000 0.500  -0.14


Respective total magnetic moment values: 1.00; 3.28 μB/cell.